Entry 1:
Density functional theory data (meta-GGA SCAN) for a PBEsol-optimized structure of BaTiNF2.

Structure (extended XYZ):
```
5
Lattice="4.207 0.000 0.000 0.000 4.207 0.000 0.000 0.000 4.006" Properties=species:S:1:pos:R:3 pbc="T T T"
Ba 0.000 0.000 0.000
Ti 2.103 2.103 2.003
N 2.103 2.103 0.000
F 0.000 2.103 2.003
F 2.103 0.000 2.003
```

- symmetry = P4/mmm, No. 123
- total magnetization (μB/atom) = 0.200

=====

Entry 2:
Density functional theory data (meta-GGA SCAN) for a PBEsol-optimized structure of BaTiNF2.

Structure (extended XYZ):
```
5
Lattice="4.765 0.000 0.000 0.000 4.765 0.000 0.000 0.000 4.891" Properties=species:S:1:pos:R:3 pbc="T T T"
Ba 0.000 0.000 0.000
Ti 2.382 2.382 2.445
N 0.000 0.000 2.445
F 0.000 2.382 0.000
F 2.382 0.000 0.000
```

- symmetry = P4/mmm, No. 123
- total magnetization (μB/atom) = 0.383

=====

no.,formation energy from raw total energies (eV per atom),relative energy among the computed polymorphs (meV/atom)
1,-2.66,0.0
2,-0.77,1890.0